CsMoPb | PBE-GGA | optimized geometry

The energy above the most stable polymorph in this dataset comes out at 0 meV/atom. The total energy is -3.781 eV per atom. The value obtained for the mass density is 6.8 g/cm³.

The space group is F-43m (No. 216) and the conventional cell measures 7.531, 7.531 and 7.531 Å, with angles of 90.00, 90.00 and 90.00 degrees. Symmetry generates all atoms from Cs at (0.000, 0.000, 0.000), Mo at (0.250, 0.250, 0.250) and Pb at (0.000, 0.000, 0.500).

CsPmMo | PBE-GGA | optimized geometry

The energy above the most stable polymorph in this dataset comes out at 0 meV/atom. The total energy is -3.540 eV per atom. The value obtained for the mass density is 6.1 g/cm³.

The space group is F-43m (No. 216) and the conventional cell measures 7.403, 7.403 and 7.403 Å, with angles of 90.00, 90.00 and 90.00 degrees. Symmetry generates all atoms from Cs at (0.000, 0.000, 0.000), Pm at (0.250, 0.250, 0.250) and Mo at (0.000, 0.000, 0.500).

CsPmMo | PBE-GGA | optimized geometry

The energy above the most stable polymorph in this dataset comes out at 158 meV/atom. The total energy is -3.382 eV per atom. The value obtained for the mass density is 7.0 g/cm³.

The space group is F-43m (No. 216) and the conventional cell measures 7.077, 7.077 and 7.077 Å, with angles of 90.00, 90.00 and 90.00 degrees. Symmetry generates all atoms from Cs at (0.000, 0.000, 0.000), Pm at (0.250, 0.250, 0.250) and Mo at (0.250, 0.250, 0.750).

CsMoPt | PBE-GGA | optimized geometry

The energy above the most stable polymorph in this dataset comes out at 0 meV/atom. The total energy is -4.371 eV per atom. The value obtained for the mass density is 9.9 g/cm³.

The space group is F-43m (No. 216) and the conventional cell measures 6.582, 6.582 and 6.582 Å, with angles of 90.00, 90.00 and 90.00 degrees. Symmetry generates all atoms from Cs at (0.000, 0.000, 0.000), Mo at (0.250, 0.250, 0.750) and Pt at (0.000, 0.000, 0.500).

CsMoPt | PBE-GGA | optimized geometry

The energy above the most stable polymorph in this dataset comes out at 23 meV/atom. The total energy is -4.348 eV per atom. The value obtained for the mass density is 7.8 g/cm³.

The space group is F-43m (No. 216) and the conventional cell measures 7.126, 7.126 and 7.126 Å, with angles of 90.00, 90.00 and 90.00 degrees. Symmetry generates all atoms from Cs at (0.000, 0.000, 0.000), Mo at (0.000, 0.000, 0.500) and Pt at (0.250, 0.250, 0.250).

CsRbMoSe2S | PBE-GGA | optimized geometry

The total energy is -4.876 eV per atom. The value obtained for the mass density is 3.8 g/cm³.

The space group is P-1 (No. 2) and the conventional cell measures 7.296, 8.012 and 9.035 Å, with angles of 75.39, 67.91 and 64.94 degrees. Symmetry generates all atoms from Cs at (0.177, 0.418, 0.190), Rb at (0.409, 0.809, 0.358), Mo at (0.115, 0.949, 0.840), Se at (0.123, 0.165, 0.603), Se at (0.319, 0.640, 0.767) and S at (0.228, 0.021, 0.012).